# La2NiWO6

A relaxed La2NiWO6 crystal (PBE+U, Alexandria via LeMat-Bulk).

The structure in POSCAR format:
```
La2NiWO6
1.0
0.000 4.009 4.009
4.009 0.000 4.009
4.009 4.009 0.000
La O W Ni
2 6 1 1
Direct
0.750 0.750 0.750
0.250 0.250 0.250
0.251 0.251 0.749
0.749 0.251 0.749
0.749 0.251 0.251
0.251 0.749 0.749
0.251 0.749 0.251
0.749 0.749 0.251
0.000 0.000 0.000
0.500 0.500 0.500
```

Output
Uncorrected energy, eV per atom: -7.2937
Size of the total moment, Bohr magnetons per cell: 4.00